# 1
The following is a DFT calculation (PBE-GGA) of Pu2PaPt2 after structural relaxation.

It has space group Immm (No. 71), with a = 3.9128 Å, b = 6.7774 Å, c = 9.1103 Å, α = 90.00°, β = 90.00° and γ = 90.00°. The asymmetric unit holds Pu at (0.0000, 0.0000, 0.2067), Pa at (0.0000, 0.5000, 0.0000) and Pt at (0.0000, 0.2920, 0.5000).

The value obtained for the total magnetization is 25.683 μB per cell. The value obtained for the density of states at the Fermi level is 34.350 states/eV per cell. Its theoretical density is 15.248 g/cm3. The value obtained for the formation energy is -605.9 meV/atom. The calculation puts the total energy at -10.654 eV per atom.

=====

# 2
The following is a DFT calculation (PBE-GGA) of Pu2PaPt2 after structural relaxation.

It has space group C2/m (No. 12), with a = 6.3472 Å, b = 5.7392 Å, c = 6.7506 Å, α = 90.00°, β = 105.26° and γ = 90.00°. The asymmetric unit holds Pu at (0.0000, 0.2461, 0.0000), Pa at (0.0000, 0.5000, 0.5000) and Pt at (0.1613, 0.0000, 0.6750).

The value obtained for the total magnetization is 24.241 μB per cell. The value obtained for the density of states at the Fermi level is 29.409 states/eV per cell. Its theoretical density is 15.527 g/cm3. The value obtained for the formation energy is -473.0 meV/atom. The calculation puts the total energy at -10.521 eV per atom.

=====

# 3
The following is a DFT calculation (PBE-GGA) of PuPa3Pt after structural relaxation.

It has space group C2/m (No. 12), with a = 18.3779 Å, b = 3.4290 Å, c = 7.5533 Å, α = 90.00°, β = 104.28° and γ = 90.00°. The asymmetric unit holds Pu at (0.1962, 0.0000, 0.3399), Pa at (0.0077, 0.0000, 0.3004), Pa at (0.0958, 0.5000, 0.0179), Pa at (0.2111, 0.0000, 0.8270) and Pt at (0.1112, 0.5000, 0.5627).

The value obtained for the total magnetization is 21.044 μB per cell. The value obtained for the density of states at the Fermi level is 41.075 states/eV per cell. Its theoretical density is 16.303 g/cm3. The value obtained for the formation energy is -279.7 meV/atom. The calculation puts the total energy at -10.052 eV per atom.

=====

# 4
The following is a DFT calculation (PBE-GGA) of PuPa2Pt3 after structural relaxation.

It has space group Imma (No. 74), with a = 8.0796 Å, b = 8.2012 Å, c = 8.3820 Å, α = 90.00°, β = 90.00° and γ = 90.00°. The asymmetric unit holds Pu at (0.0000, 0.2500, 0.1928), Pa at (0.2324, 0.2500, 0.9760), Pt at (0.0000, 0.0000, 0.5000) and Pt at (0.2500, 0.0014, 0.7500).

The value obtained for the total magnetization is 23.914 μB per cell. The value obtained for the density of states at the Fermi level is 29.849 states/eV per cell. Its theoretical density is 15.443 g/cm3. The value obtained for the formation energy is -508.4 meV/atom. The calculation puts the total energy at -9.083 eV per atom.

=====

# 5
The following is a DFT calculation (PBE-GGA) of Pu4Pa2Pt5 after structural relaxation.

It has space group Pbam (No. 55), with a = 7.8043 Å, b = 17.8325 Å, c = 3.4316 Å, α = 90.00°, β = 90.00° and γ = 90.00°. The asymmetric unit holds Pu at (0.1040, 0.1370, 0.0000), Pu at (0.2211, 0.4370, 0.0000), Pa at (0.0129, 0.6932, 0.0000), Pt at (0.0000, 0.0000, 0.5000), Pt at (0.1116, 0.5673, 0.5000) and Pt at (0.2140, 0.7866, 0.5000).

The value obtained for the total magnetization is 0.404 μB per cell. The value obtained for the density of states at the Fermi level is 67.272 states/eV per cell. Its theoretical density is 16.784 g/cm3. The value obtained for the formation energy is -677.8 meV/atom. The calculation puts the total energy at -10.362 eV per atom.

=====

# 6
The following is a DFT calculation (PBE-GGA) of Pu3PaPt2 after structural relaxation.

It has space group C2/m (No. 12), with a = 15.7476 Å, b = 6.7945 Å, c = 5.1954 Å, α = 90.00°, β = 109.14° and γ = 90.00°. The asymmetric unit holds Pu at (0.0686, 0.0000, 0.3194), Pu at (0.0713, 0.5000, 0.3220), Pu at (0.2463, 0.0000, 0.9963), Pa at (0.2500, 0.2500, 0.5000) and Pt at (0.0940, 0.2551, 0.8449).

The value obtained for the total magnetization is 20.055 μB per cell. The value obtained for the density of states at the Fermi level is 83.841 states/eV per cell. Its theoretical density is 17.115 g/cm3. The value obtained for the formation energy is -444.6 meV/atom. The calculation puts the total energy at -11.207 eV per atom.